No. 1
This record from the Alexandria database describes a geometry-optimized Pm3Dy3ErTe8 structure. The functional is PBE.

```
Pm3Dy3ErTe8
1.0
4.382 2.530 7.197
-4.382 2.530 7.197
0.000 -5.060 7.197
Pm Dy Er Te
3 3 1 8
Direct
0.000 0.500 0.500 Pm
0.500 0.000 0.500 Pm
0.500 0.500 0.000 Pm
0.000 0.000 0.500 Dy
0.000 0.500 0.000 Dy
0.500 0.000 0.000 Dy
0.500 0.500 0.500 Er
0.242 0.752 0.752 Te
0.247 0.247 0.247 Te
0.248 0.248 0.758 Te
0.248 0.758 0.248 Te
0.752 0.242 0.752 Te
0.752 0.752 0.242 Te
0.753 0.753 0.753 Te
0.758 0.248 0.248 Te
```

**Magnetization**: 0.0 Bohr magnetons per cell

***

No. 2
This record from the Alexandria database describes a geometry-optimized Pm2DyErTe6 structure. The functional is PBE.

```
Pm2DyErTe6
1.0
3.895 2.249 7.058
-3.895 2.249 7.058
0.000 -4.497 7.058
Pm Dy Er Te
2 1 1 6
Direct
0.000 0.000 0.000 Pm
0.500 0.500 0.500 Pm
0.311 0.311 0.311 Dy
0.811 0.811 0.811 Er
0.082 0.419 0.706 Te
0.204 0.917 0.584 Te
0.419 0.706 0.082 Te
0.584 0.204 0.917 Te
0.706 0.082 0.419 Te
0.917 0.584 0.204 Te
```

**Magnetization**: 0.0 Bohr magnetons per cell

***

No. 3
This record from the Alexandria database describes a geometry-optimized Pm3Dy2ErTe6 structure. The functional is PBE.

```
Pm3Dy2ErTe6
1.0
9.641 -2.182 0.000
9.641 2.182 0.000
-2.217 0.000 8.613
Pm Dy Er Te
3 2 1 6
Direct
0.000 0.000 0.000 Pm
0.332 0.332 0.667 Pm
0.668 0.668 0.333 Pm
0.333 0.333 0.166 Dy
0.667 0.667 0.834 Dy
0.000 0.000 0.500 Er
0.163 0.163 0.588 Te
0.168 0.168 0.078 Te
0.498 0.498 0.258 Te
0.502 0.502 0.742 Te
0.832 0.832 0.922 Te
0.837 0.837 0.412 Te
```

**Magnetization**: 0.0 Bohr magnetons per cell

***

Number 1: formation energy from raw total energies -20.9 eV/f.u.. Number 2: formation energy from raw total energies -13.7 eV/f.u.. Number 3: formation energy from raw total energies -16.0 eV/f.u..